# 1
La3GeI3 | GGA-PBE | relaxed

CIF file:
```
data_La3GeI3
_symmetry_space_group_name_H-M 'C 1 2/m 1'
_symmetry_Int_Tables_number 12
_symmetry_space_group_name_Hall '-C 2y'
_cell_length_a 9.730
_cell_length_b 14.635
_cell_length_c 7.684
_cell_angle_alpha 90.00
_cell_angle_beta 93.49
_cell_angle_gamma 90.00
loop_
_atom_site_label
_atom_site_type_symbol
_atom_site_fract_x
_atom_site_fract_y
_atom_site_fract_z
La1 La 0.066 0.000 0.257
La2 La 0.173 0.364 0.178
Ge1 Ge 0.201 0.000 0.602
I1 I 0.000 0.178 0.000
I2 I 0.000 0.278 0.500
I3 I 0.112 0.500 0.829
```

Summary:
Raw total energy: -4.29 eV per atom
ΔE_f (raw): -0.8591 eV/atom

# 2
LaGeI3 | GGA-PBE | relaxed

CIF file:
```
data_LaGeI3
_symmetry_space_group_name_H-M 'P m -3 m'
_symmetry_Int_Tables_number 221
_symmetry_space_group_name_Hall '-P 4 2 3'
_cell_length_a 6.282
_cell_length_b 6.282
_cell_length_c 6.282
_cell_angle_alpha 90.00
_cell_angle_beta 90.00
_cell_angle_gamma 90.00
loop_
_atom_site_label
_atom_site_type_symbol
_atom_site_fract_x
_atom_site_fract_y
_atom_site_fract_z
La1 La 0.000 0.000 0.000
Ge1 Ge 0.500 0.500 0.500
I1 I 0.000 0.000 0.500
```

Summary:
Raw total energy: -3.29 eV per atom
ΔE_f (raw): -0.4504 eV/atom

# 3
La5Ge2I2 | GGA-PBE | relaxed

CIF file:
```
data_La5Ge2I2
_symmetry_space_group_name_H-M 'C m c e'
_symmetry_Int_Tables_number 64
_symmetry_space_group_name_Hall '-C 2ac 2'
_cell_length_a 16.368
_cell_length_b 8.357
_cell_length_c 8.340
_cell_angle_alpha 90.00
_cell_angle_beta 90.00
_cell_angle_gamma 90.00
loop_
_atom_site_label
_atom_site_type_symbol
_atom_site_fract_x
_atom_site_fract_y
_atom_site_fract_z
La1 La 0.000 0.000 0.000
La2 La 0.121 0.158 0.342
Ge1 Ge 0.000 0.147 0.647
I1 I 0.202 0.000 0.000
```

Summary:
Raw total energy: -5.00 eV per atom
ΔE_f (raw): -0.8940 eV/atom

# 4
La3Ge2I2 | GGA-PBE | relaxed

CIF file:
```
data_La3Ge2I2
_symmetry_space_group_name_H-M 'P -1'
_symmetry_Int_Tables_number 2
_symmetry_space_group_name_Hall '-P 1'
_cell_length_a 4.387
_cell_length_b 7.555
_cell_length_c 8.412
_cell_angle_alpha 80.40
_cell_angle_beta 89.73
_cell_angle_gamma 73.79
loop_
_atom_site_label
_atom_site_type_symbol
_atom_site_fract_x
_atom_site_fract_y
_atom_site_fract_z
La1 La 0.000 0.000 0.000
La2 La 0.233 0.529 0.772
Ge1 Ge 0.372 0.261 0.085
I1 I 0.130 0.751 0.378
```

Summary:
Raw total energy: -4.82 eV per atom
ΔE_f (raw): -0.9415 eV/atom

# 5
LaGeI | GGA-PBE | relaxed

CIF file:
```
data_LaGeI
_symmetry_space_group_name_H-M 'P -3 m 1'
_symmetry_Int_Tables_number 164
_symmetry_space_group_name_Hall '-P 3 2"'
_cell_length_a 4.4345
_cell_length_b 4.4345
_cell_length_c 12.2562
_cell_angle_alpha 90.00
_cell_angle_beta 90.00
_cell_angle_gamma 120.00
loop_
_atom_site_label
_atom_site_type_symbol
_atom_site_fract_x
_atom_site_fract_y
_atom_site_fract_z
La1 La 0.0000 0.0000 0.1669
Ge1 Ge 0.3333 0.6667 0.9900
I1 I 0.3333 0.6667 0.3377
```

Summary:
Raw total energy: -4.84 eV per atom
ΔE_f (raw): -1.1376 eV/atom
Energy relative to the lowest polymorph listed for this composition: 0 meV/atom

# 6
La2GeI | GGA-PBE | relaxed

CIF file:
```
data_La2GeI
_symmetry_space_group_name_H-M 'P 4/m m m'
_symmetry_Int_Tables_number 123
_symmetry_space_group_name_Hall '-P 4 2'
_cell_length_a 3.814
_cell_length_b 3.814
_cell_length_c 8.165
_cell_angle_alpha 90.00
_cell_angle_beta 90.00
_cell_angle_gamma 90.00
loop_
_atom_site_label
_atom_site_type_symbol
_atom_site_fract_x
_atom_site_fract_y
_atom_site_fract_z
La1 La 0.000 0.000 0.213
Ge1 Ge 0.500 0.500 0.000
I1 I 0.500 0.500 0.500
```

Summary:
Raw total energy: -4.88 eV per atom
ΔE_f (raw): -0.8739 eV/atom
Energy relative to the lowest polymorph listed for this composition: 227 meV/atom

# 7
LaGeI | GGA-PBE | relaxed

CIF file:
```
data_LaGeI
_symmetry_space_group_name_H-M 'C 1 2/m 1'
_symmetry_Int_Tables_number 12
_symmetry_space_group_name_Hall '-C 2y'
_cell_length_a 7.690
_cell_length_b 4.431
_cell_length_c 12.576
_cell_angle_alpha 90.00
_cell_angle_beta 101.71
_cell_angle_gamma 90.00
loop_
_atom_site_label
_atom_site_type_symbol
_atom_site_fract_x
_atom_site_fract_y
_atom_site_fract_z
La1 La 0.055 0.000 0.166
Ge1 Ge 0.163 0.500 0.990
I1 I 0.221 0.000 0.664
```

Summary:
Raw total energy: -4.84 eV per atom
ΔE_f (raw): -1.1376 eV/atom
Energy relative to the lowest polymorph listed for this composition: 0 meV/atom

# 8
La3GeI | GGA-PBE | relaxed

CIF file:
```
data_La3GeI
_symmetry_space_group_name_H-M 'P m -3 m'
_symmetry_Int_Tables_number 221
_symmetry_space_group_name_Hall '-P 4 2 3'
_cell_length_a 5.820
_cell_length_b 5.820
_cell_length_c 5.820
_cell_angle_alpha 90.00
_cell_angle_beta 90.00
_cell_angle_gamma 90.00
loop_
_atom_site_label
_atom_site_type_symbol
_atom_site_fract_x
_atom_site_fract_y
_atom_site_fract_z
La1 La 0.000 0.000 0.500
Ge1 Ge 0.000 0.000 0.000
I1 I 0.500 0.500 0.500
```

Summary:
Raw total energy: -4.51 eV per atom
ΔE_f (raw): -0.3182 eV/atom
Energy relative to the lowest polymorph listed for this composition: 0 meV/atom

# 9
La2GeI | GGA-PBE | relaxed

CIF file:
```
data_La2GeI
_symmetry_space_group_name_H-M 'F m -3 m'
_symmetry_Int_Tables_number 225
_symmetry_space_group_name_Hall '-F 4 2 3'
_cell_length_a 7.754
_cell_length_b 7.754
_cell_length_c 7.754
_cell_angle_alpha 90.00
_cell_angle_beta 90.00
_cell_angle_gamma 90.00
loop_
_atom_site_label
_atom_site_type_symbol
_atom_site_fract_x
_atom_site_fract_y
_atom_site_fract_z
La1 La 0.250 0.250 0.250
Ge1 Ge 0.000 0.000 0.000
I1 I 0.000 0.000 0.500
```

Summary:
Raw total energy: -4.85 eV per atom
ΔE_f (raw): -0.8417 eV/atom
Energy relative to the lowest polymorph listed for this composition: 260 meV/atom

# 10
La4GeI5 | GGA-PBE | relaxed

CIF file:
```
data_La4GeI5
_symmetry_space_group_name_H-M 'C 1 2/m 1'
_symmetry_Int_Tables_number 12
_symmetry_space_group_name_Hall '-C 2y'
_cell_length_a 19.897
_cell_length_b 4.419
_cell_length_c 9.280
_cell_angle_alpha 90.00
_cell_angle_beta 102.56
_cell_angle_gamma 90.00
loop_
_atom_site_label
_atom_site_type_symbol
_atom_site_fract_x
_atom_site_fract_y
_atom_site_fract_z
La1 La 0.000 0.000 0.218
La2 La 0.151 0.500 0.074
Ge1 Ge 0.000 0.500 0.000
I1 I 0.000 0.500 0.500
I2 I 0.167 0.000 0.336
I3 I 0.171 0.000 0.823
```

Summary:
Raw total energy: -4.55 eV per atom
ΔE_f (raw): -1.3380 eV/atom

# 11
La8Ge5I | GGA-PBE | relaxed

CIF file:
```
data_La8Ge5I
_symmetry_space_group_name_H-M 'I -4'
_symmetry_Int_Tables_number 82
_symmetry_space_group_name_Hall 'I -4'
_cell_length_a 9.425
_cell_length_b 9.425
_cell_length_c 9.382
_cell_angle_alpha 90.00
_cell_angle_beta 90.00
_cell_angle_gamma 90.00
loop_
_atom_site_label
_atom_site_type_symbol
_atom_site_fract_x
_atom_site_fract_y
_atom_site_fract_z
La1 La 0.070 0.188 0.315
La2 La 0.075 0.333 0.939
Ge1 Ge 0.000 0.500 0.250
Ge2 Ge 0.130 0.251 0.627
I1 I 0.000 0.000 0.000
```

Summary:
Raw total energy: -5.42 eV per atom
ΔE_f (raw): -0.8449 eV/atom

# 12
La4Ge2I5 | GGA-PBE | relaxed

CIF file:
```
data_La4Ge2I5
_symmetry_space_group_name_H-M 'P -1'
_symmetry_Int_Tables_number 2
_symmetry_space_group_name_Hall '-P 1'
_cell_length_a 4.869
_cell_length_b 9.917
_cell_length_c 10.118
_cell_angle_alpha 100.90
_cell_angle_beta 103.31
_cell_angle_gamma 97.20
loop_
_atom_site_label
_atom_site_type_symbol
_atom_site_fract_x
_atom_site_fract_y
_atom_site_fract_z
La1 La 0.096 0.261 0.001
La2 La 0.388 0.420 0.709
Ge1 Ge 0.325 0.571 0.982
I1 I 0.139 0.349 0.351
I2 I 0.178 0.815 0.338
I3 I 0.500 0.000 0.000
```

Summary:
Raw total energy: -4.51 eV per atom
ΔE_f (raw): -1.1788 eV/atom
Energy relative to the lowest polymorph listed for this composition: 20 meV/atom